Entry from Alexandria: a crystal of ZrCuBr relaxed with PBEsol (SCAN).

Lattice parameters (Å, degrees): 3.1429 4.5613 4.5613 120.00 90.00 90.00
Closest atoms and distances in Å follow each position.
Atoms (fractional coordinates):
Cu 0.6668 0.6667 0.3333  6 Zr 3.07, 6 Br 3.07, 2 Cu 3.14
Zr 0.1666 0.3333 0.6667  3 Br 2.63
Br 0.1667 0.0000 0.0000  3 Zr 2.63

## Properties
- DOS at the Fermi energy: 1.917 states/eV/f.u.
- Formation energy without anion corrections: 0.3 eV/f.u.
- Total energy: -65.1 eV for the cell shown